1.
First-principles (PBEsol) data for a relaxed structure of Zn2Cr3FeO8, as listed in Alexandria via LeMat-Bulk.

Space group = R-3m, No. 166
Total magnetic moment = 0.71 μB/atom
DFT total energy = -108.45 eV/cell

Unit cell a=5.7930 b=5.7930 c=5.7930 alpha=60.85 beta=60.85 gamma=60.85
Fractional positions:
1 Zn 0.1246 0.1246 0.1246
2 Zn 0.8754 0.8754 0.8754
3 Cr 0.0000 0.5000 0.5000
4 Cr 0.5000 0.0000 0.5000
5 Cr 0.5000 0.5000 0.0000
6 Fe 0.5000 0.5000 0.5000
7 O 0.2624 0.2624 0.2624
8 O 0.2647 0.2647 0.7134
9 O 0.2647 0.7134 0.2647
10 O 0.2866 0.7353 0.7353
11 O 0.7134 0.2647 0.2647
12 O 0.7353 0.2866 0.7353
13 O 0.7353 0.7353 0.2866
14 O 0.7376 0.7376 0.7376

2.
First-principles (PBEsol) data for a relaxed structure of Zn2CrFe3O8, as listed in Alexandria via LeMat-Bulk.

Space group = R-3m, No. 166
Total magnetic moment = 0.43 μB/atom
DFT total energy = -102.25 eV/cell

Unit cell a=5.7765 b=5.7765 c=5.7765 alpha=59.33 beta=59.33 gamma=59.33
Fractional positions:
1 Zn 0.1253 0.1253 0.1253
2 Zn 0.8747 0.8747 0.8747
3 Cr 0.5000 0.5000 0.5000
4 Fe 0.0000 0.5000 0.5000
5 Fe 0.5000 0.0000 0.5000
6 Fe 0.5000 0.5000 0.0000
7 O 0.2602 0.2602 0.7113
8 O 0.2602 0.7113 0.2602
9 O 0.2630 0.2630 0.2630
10 O 0.2887 0.7398 0.7398
11 O 0.7113 0.2602 0.2602
12 O 0.7370 0.7370 0.7370
13 O 0.7398 0.2887 0.7398
14 O 0.7398 0.7398 0.2887

3.
First-principles (PBEsol) data for a relaxed structure of CrFe2Os, as listed in Alexandria via LeMat-Bulk.

Space group = P4/mmm, No. 123
Total magnetic moment = 0.16 μB/atom
DFT total energy = -40.17 eV/cell

Unit cell a=3.5655 b=3.5655 c=3.5651 alpha=90.00 beta=90.00 gamma=90.00
Fractional positions:
1 Cr 0.0000 0.0000 0.0000
2 Fe 0.0000 0.5000 0.5000
3 Fe 0.5000 0.0000 0.5000
4 Os 0.5000 0.5000 0.0000

4.
First-principles (PBEsol) data for a relaxed structure of CrFeOs, as listed in Alexandria via LeMat-Bulk.

Space group = F-43m, No. 216
Relative energy among the computed polymorphs = 662 meV per atom
Total magnetic moment = 0.15 μB/atom
DFT total energy = -29.30 eV/cell

Unit cell a=3.8647 b=3.8647 c=3.8647 alpha=60.00 beta=60.00 gamma=60.00
Fractional positions:
1 Cr 0.0000 0.0000 0.0000
2 Fe 0.2500 0.2500 0.2500
3 Os 0.5000 0.5000 0.5000